(1)
## GaRh3Au (PBE-GGA)

Data for a geometry-optimized GaRh3Au structure.

Properties
**Space-group type**: No. 221
**Offset from the most stable computed form**: 710.6 meV per atom

```
data_GaRh3Au
_chemical_formula_sum 'Ga1 Rh3 Au1'
_symmetry_space_group_name_H-M 'P 1'
_symmetry_Int_Tables_number 1
_cell_length_a 4.8781
_cell_length_b 4.8781
_cell_length_c 4.8781
_cell_angle_alpha 90.00
_cell_angle_beta 90.00
_cell_angle_gamma 90.00
loop_
_symmetry_equiv_pos_as_xyz
'x,y,z'
loop_
_atom_site_label
_atom_site_fract_x
_atom_site_fract_y
_atom_site_fract_z
_atom_site_occupancy
Rh1 0.0000 0.5000 0.0000 1
Rh2 0.0000 0.0000 0.5000 1
Rh3 0.5000 0.0000 0.0000 1
Au1 0.0000 0.0000 0.0000 1
Ga1 0.5000 0.5000 0.5000 1
```

---

(2)
## Hf6Th (PBE-GGA)

Data for a geometry-optimized Hf6Th structure.

Properties
**Space-group type**: No. 229

```
data_Hf6Th
_chemical_formula_sum 'Hf6 Th1'
_symmetry_space_group_name_H-M 'P 1'
_symmetry_Int_Tables_number 1
_cell_length_a 6.5533
_cell_length_b 6.5533
_cell_length_c 6.5533
_cell_angle_alpha 109.47
_cell_angle_beta 109.47
_cell_angle_gamma 109.47
loop_
_symmetry_equiv_pos_as_xyz
'x,y,z'
loop_
_atom_site_label
_atom_site_fract_x
_atom_site_fract_y
_atom_site_fract_z
_atom_site_occupancy
Hf1 0.2500 0.7500 0.5000 1
Hf2 0.5000 0.7500 0.2500 1
Hf3 0.2500 0.5000 0.7500 1
Hf4 0.7500 0.2500 0.5000 1
Hf5 0.5000 0.2500 0.7500 1
Hf6 0.7500 0.5000 0.2500 1
Th1 0.0000 0.0000 0.0000 1
```

---

(3)
## YHoGaCo (PBE-GGA)

Data for a geometry-optimized YHoGaCo structure.

Properties
**Space-group type**: No. 216
**Offset from the most stable computed form**: 62.7 meV per atom

```
data_YHoGaCo
_chemical_formula_sum 'Y1 Ho1 Ga1 Co1'
_symmetry_space_group_name_H-M 'P 1'
_symmetry_Int_Tables_number 1
_cell_length_a 4.9167
_cell_length_b 4.9167
_cell_length_c 4.9167
_cell_angle_alpha 60.00
_cell_angle_beta 60.00
_cell_angle_gamma 60.00
loop_
_symmetry_equiv_pos_as_xyz
'x,y,z'
loop_
_atom_site_label
_atom_site_fract_x
_atom_site_fract_y
_atom_site_fract_z
_atom_site_occupancy
Y1 0.7500 0.7500 0.7500 1
Co1 0.5000 0.5000 0.5000 1
Ho1 0.2500 0.2500 0.2500 1
Ga1 0.0000 0.0000 0.0000 1
```

---

Number 1: total magnetization 0.323 μB per atom, formation energy 1.486 eV per atom. Number 2: total magnetization 0.000 μB per atom, formation energy 1.927 eV per atom. Number 3: total magnetization 0.259 μB per atom, formation energy -0.332 eV per atom.